Record 1
DFT (GGA-PBE) results for a geometry-optimized Tc3Sn structure.

## Properties
Magnetization = 0.253 μB per atom
Energy above the lowest structure with this stoichiometry = 22 meV per atom
E_tot = -8.545 eV per atom
ρ = 10735 kg/m3
SG = Fm-3m, No. 225

a = 4.486 Å, b = 4.486 Å, c = 4.486 Å
α = 60.00°, β = 60.00°, γ = 60.00°
Element x y z (fractional)
Sn  0.000  0.000  0.000
Tc  0.250  0.250  0.250
Tc  0.750  0.750  0.750
Tc  0.500  0.500  0.500

Record 2
DFT (GGA-PBE) results for a geometry-optimized La2RuBr structure.

## Properties
Energy relative to the elements, uncorrected = -49 kJ per mole of atoms
Magnetization = 0.000 μB per atom
Energy above the lowest structure with this stoichiometry = 403 meV per atom
E_tot = -5.707 eV per atom
ρ = 7623 kg/m3
SG = Fm-3m, No. 225

a = 5.209 Å, b = 5.209 Å, c = 5.209 Å
α = 60.00°, β = 60.00°, γ = 60.00°
Element x y z (fractional)
La  0.750  0.750  0.750
Ru  0.500  0.500  0.500
La  0.250  0.250  0.250
Br  0.000  0.000  0.000

Record 3
DFT (GGA-PBE) results for a geometry-optimized PrPaHg6 structure.

## Properties
Magnetization = 0.194 μB per atom
E_tot = -1.810 eV per atom
ρ = 10046 kg/m3
SG = R-3m, No. 166

a = 6.022 Å, b = 6.022 Å, c = 8.992 Å
α = 70.44°, β = 70.44°, γ = 60.00°
Element x y z (fractional)
Hg  0.444  0.936  0.684
Pa  0.500  0.500  0.500
Hg  0.936  0.936  0.684
Hg  0.064  0.556  0.316
Hg  0.556  0.064  0.316
Pr  0.000  0.000  0.000
Hg  0.936  0.444  0.684
Hg  0.064  0.064  0.316

Record 4
DFT (GGA-PBE) results for a geometry-optimized CaMnRe structure.

## Properties
Magnetization = 2.159 μB per atom
Energy above the lowest structure with this stoichiometry = 1625 meV per atom
E_tot = -5.821 eV per atom
ρ = 6511 kg/m3
SG = F-43m, No. 216

a = 4.663 Å, b = 4.663 Å, c = 4.663 Å
α = 60.00°, β = 60.00°, γ = 60.00°
Element x y z (fractional)
Re  0.500  0.500  0.500
Mn  0.000  0.000  0.000
Ca  0.750  0.750  0.750